Cs2LiLaI6 | PBE | relaxed Values from VASP.

Calculated values
The energy above the most stable polymorph in this dataset is 0.0 meV/atom. The calculated total energy is -32.70 eV per cell. The uncorrected formation energy comes out at -1485 meV/atom. The calculated density comes out at 4.11 g/cm3. As for the symmetry: P-3m1, No. 164.

The structure in Quantum ESPRESSO input format:
```
&SYSTEM
  ibrav = 0, nat = 10, ntyp = 4
/
ATOMIC_SPECIES
Cs 132.91 Cs.upf
Li 6.94 Li.upf
La 138.91 La.upf
I 126.90 I.upf
ATOMIC_POSITIONS crystal
Cs 0.3333 0.6667 0.2587
Cs 0.6667 0.3333 0.7413
Li 0.0000 0.0000 0.5000
La 0.0000 0.0000 0.0000
I 0.1673 0.3346 0.7388
I 0.1673 0.8327 0.7388
I 0.3346 0.1673 0.2612
I 0.6654 0.8327 0.7388
I 0.8327 0.1673 0.2612
I 0.8327 0.6654 0.2612
CELL_PARAMETERS angstrom
8.5865 0.0000 0.0000
-4.2932 7.4361 0.0000
0.0000 0.0000 7.4218
```